A plane-wave DFT calculation with PBE was carried out for a relaxed Er6Te2PbSe3 crystal.

Results
E_tot	-5.331	eV/atom
crystal system	monoclinic
total magnetization	0.000	μB per formula unit
formation energy without anion corrections	-1.346	eV/atom

Cell: 4.1720 8.4554 9.4143 Å, 103.43 102.80 90.00°
Last column: nearest neighbours and their distance in Å.
Element x y z (fractional)
Er (0.3417, 0.3997, 0.6833)  3 Se 2.83, 3 Te 3.09-3.10
Er (0.9938, 0.2570, 0.9876)  3 Se 2.90-2.91, 2 Pb 3.03, 1 Te 3.12
Er (0.6583, 0.6003, 0.3167)  3 Se 2.83, 3 Te 3.09-3.10
Er (0.0062, 0.7430, 0.0124)  3 Se 2.90-2.91, 2 Pb 3.03, 1 Te 3.12
Er (0.6692, 0.0621, 0.3383)  3 Se 2.85-2.90, 1 Pb 3.02, 2 Te 3.12
Er (0.3308, 0.9379, 0.6617)  3 Se 2.85-2.90, 1 Pb 3.02, 2 Te 3.12
Te (0.1685, 0.3361, 0.3370)  6 Er 3.09-3.12
Te (0.8315, 0.6639, 0.6630)  6 Er 3.09-3.12
Se (0.8312, 0.1683, 0.6623)  6 Er 2.83-2.90
Se (0.5000, 0.5000, 0.0000)  6 Er 2.83-2.91
Se (0.1688, 0.8317, 0.3377)  6 Er 2.83-2.90
Pb (0.5000, 0.0000, 0.0000)  6 Er 3.02-3.03